Re2AgSe, relaxed, DFT PBE-GGA; Fermi-level density of states = 4.08 states/eV per cell; E_tot = -0.491 Ry/atom; energy relative to the elements, uncorrected = 1123 meV/atom
1.0
4.608 0.000 0.000
0.000 3.812 0.000
0.000 0.000 3.812
Re Ag Se
2 1 1
Cartesian
0.000 1.906 1.906 Re
0.000 0.000 0.000 Re
2.304 0.000 1.906 Ag
2.304 1.906 0.000 Se